# MnGaCuF6

A relaxed structure of MnGaCuF6 (PBE with a Hubbard U, Alexandria).

The structure belongs to space group P-31c (No. 163); the cell edges are 5.3364, 5.3364 and 9.2123 Å and the angles 90.00°, 90.00° and 120.00°. The inequivalent atoms are Mn at (0.0000, 0.0000, 0.0000), Ga at (0.3333, 0.6667, 0.2500), Cu at (0.3333, 0.6667, 0.7500) and F at (0.0451, 0.3594, 0.1306).

For the electronic total energy, the calculation gives -91.74 eV for the cell shown. The calculation puts the calculated density at 4.4 g/cm³. The total magnetization comes out at 10.256 Bohr magnetons per cell.